Entry 1:
# PBEsol Mg2CrTc, relaxed
# * calculated formation energy: 1.8 eV/f.u.
# * offset from the most stable computed form: 0.0 meV per atom
# * symmetry: Pmmm
data_Mg2CrTc
_chemical_formula_sum 'Mg2 Cr1 Tc1'
_cell_length_a 3.243
_cell_length_b 4.086
_cell_length_c 4.523
_cell_angle_alpha 90.00
_cell_angle_beta 90.00
_cell_angle_gamma 90.00
_symmetry_space_group_name_H-M 'P 1'
_symmetry_Int_Tables_number 1
loop_
_symmetry_equiv_pos_as_xyz
'x,y,z'
loop_
_atom_site_label
_atom_site_type_symbol
_atom_site_fract_x
_atom_site_fract_y
_atom_site_fract_z
Cr1 Cr 0.000 0.500 0.500
Mg1 Mg 0.000 0.000 0.000
Mg2 Mg 0.500 0.500 0.000
Tc1 Tc 0.500 0.000 0.500


Entry 2:
# PBEsol Mg2CrTc, relaxed
# * calculated formation energy: 2.6 eV/f.u.
# * offset from the most stable computed form: 203.7 meV per atom
# * symmetry: Fm-3m
data_Mg2CrTc
_chemical_formula_sum 'Mg2 Cr1 Tc1'
_cell_length_a 4.501
_cell_length_b 4.501
_cell_length_c 4.501
_cell_angle_alpha 60.00
_cell_angle_beta 60.00
_cell_angle_gamma 60.00
_symmetry_space_group_name_H-M 'P 1'
_symmetry_Int_Tables_number 1
loop_
_symmetry_equiv_pos_as_xyz
'x,y,z'
loop_
_atom_site_label
_atom_site_type_symbol
_atom_site_fract_x
_atom_site_fract_y
_atom_site_fract_z
Cr1 Cr 0.000 0.000 0.000
Mg1 Mg 0.750 0.750 0.750
Mg2 Mg 0.250 0.250 0.250
Tc1 Tc 0.500 0.500 0.500


Entry 3:
# PBEsol MgCrTc2, relaxed
# * calculated formation energy: 1.6 eV/f.u.
# * symmetry: Pmmm
data_MgCrTc2
_chemical_formula_sum 'Mg1 Cr1 Tc2'
_cell_length_a 3.089
_cell_length_b 4.273
_cell_length_c 4.275
_cell_angle_alpha 90.00
_cell_angle_beta 90.00
_cell_angle_gamma 90.00
_symmetry_space_group_name_H-M 'P 1'
_symmetry_Int_Tables_number 1
loop_
_symmetry_equiv_pos_as_xyz
'x,y,z'
loop_
_atom_site_label
_atom_site_type_symbol
_atom_site_fract_x
_atom_site_fract_y
_atom_site_fract_z
Cr1 Cr 0.500 0.500 0.000
Mg1 Mg 0.000 0.500 0.500
Tc1 Tc 0.000 0.000 0.000
Tc2 Tc 0.500 0.000 0.500


Entry 4:
# PBEsol Mg2CrTc, relaxed
# * calculated formation energy: 2.1 eV/f.u.
# * offset from the most stable computed form: 86.7 meV per atom
# * symmetry: P4/mmm
data_Mg2CrTc
_chemical_formula_sum 'Mg2 Cr1 Tc1'
_cell_length_a 2.602
_cell_length_b 2.602
_cell_length_c 8.851
_cell_angle_alpha 90.00
_cell_angle_beta 90.00
_cell_angle_gamma 90.00
_symmetry_space_group_name_H-M 'P 1'
_symmetry_Int_Tables_number 1
loop_
_symmetry_equiv_pos_as_xyz
'x,y,z'
loop_
_atom_site_label
_atom_site_type_symbol
_atom_site_fract_x
_atom_site_fract_y
_atom_site_fract_z
Cr1 Cr 0.500 0.500 0.500
Mg1 Mg 0.000 0.000 0.745
Mg2 Mg 0.000 0.000 0.255
Tc1 Tc 0.500 0.500 0.000


Entry 5:
# PBEsol MgCrTc2, relaxed
# * calculated formation energy: 1.0 eV/f.u.
# * symmetry: R-3m
data_MgCrTc2
_chemical_formula_sum 'Mg1 Cr1 Tc2'
_cell_length_a 2.739
_cell_length_b 2.739
_cell_length_c 8.896
_cell_angle_alpha 81.15
_cell_angle_beta 81.15
_cell_angle_gamma 60.00
_symmetry_space_group_name_H-M 'P 1'
_symmetry_Int_Tables_number 1
loop_
_symmetry_equiv_pos_as_xyz
'x,y,z'
loop_
_atom_site_label
_atom_site_type_symbol
_atom_site_fract_x
_atom_site_fract_y
_atom_site_fract_z
Cr1 Cr 0.500 0.500 0.500
Mg1 Mg 0.000 0.000 0.000
Tc1 Tc 0.242 0.242 0.275
Tc2 Tc 0.758 0.758 0.725


Entry 6:
# PBEsol Mg4CrTc, relaxed
# * calculated formation energy: 4.5 eV/f.u.
# * symmetry: F-43m
data_Mg4CrTc
_chemical_formula_sum 'Mg4 Cr1 Tc1'
_cell_length_a 5.357
_cell_length_b 5.357
_cell_length_c 5.357
_cell_angle_alpha 60.00
_cell_angle_beta 60.00
_cell_angle_gamma 60.00
_symmetry_space_group_name_H-M 'P 1'
_symmetry_Int_Tables_number 1
loop_
_symmetry_equiv_pos_as_xyz
'x,y,z'
loop_
_atom_site_label
_atom_site_type_symbol
_atom_site_fract_x
_atom_site_fract_y
_atom_site_fract_z
Cr1 Cr 0.000 0.000 0.000
Mg1 Mg 0.376 0.376 0.376
Mg2 Mg 0.376 0.376 0.873
Mg3 Mg 0.873 0.376 0.376
Mg4 Mg 0.376 0.873 0.376
Tc1 Tc 0.750 0.750 0.750


Entry 7:
# PBEsol MgTiCr3, relaxed
# * calculated formation energy: 7.1 eV/f.u.
# * symmetry: Pm-3m
data_MgTiCr3
_chemical_formula_sum 'Mg1 Ti1 Cr3'
_cell_length_a 4.298
_cell_length_b 4.298
_cell_length_c 4.298
_cell_angle_alpha 90.00
_cell_angle_beta 90.00
_cell_angle_gamma 90.00
_symmetry_space_group_name_H-M 'P 1'
_symmetry_Int_Tables_number 1
loop_
_symmetry_equiv_pos_as_xyz
'x,y,z'
loop_
_atom_site_label
_atom_site_type_symbol
_atom_site_fract_x
_atom_site_fract_y
_atom_site_fract_z
Cr1 Cr 0.000 0.500 0.000
Cr2 Cr 0.000 0.000 0.500
Cr3 Cr 0.500 0.000 0.000
Mg1 Mg 0.500 0.500 0.500
Ti1 Ti 0.000 0.000 0.000


Entry 8:
# PBEsol Mg2CrW, relaxed
# * calculated formation energy: 2.2 eV/f.u.
# * symmetry: Cm
data_Mg2CrW
_chemical_formula_sum 'Mg2 Cr1 W1'
_cell_length_a 2.650
_cell_length_b 4.691
_cell_length_c 5.334
_cell_angle_alpha 92.81
_cell_angle_beta 90.00
_cell_angle_gamma 106.41
_symmetry_space_group_name_H-M 'P 1'
_symmetry_Int_Tables_number 1
loop_
_symmetry_equiv_pos_as_xyz
'x,y,z'
loop_
_atom_site_label
_atom_site_type_symbol
_atom_site_fract_x
_atom_site_fract_y
_atom_site_fract_z
Cr1 Cr 0.747 0.494 0.278
Mg1 Mg 0.002 0.004 0.001
Mg2 Mg 0.249 0.497 0.747
W1 W 0.502 0.004 0.473


Mass density, record by record: 5.50; 5.11; 8.01; 5.50; 7.95; 3.78; 4.77; 7.43 g cm⁻³